Compound: Pu
Source: the Alexandria database
Functional: PBEsol
Structure: optimized geometry

Computed properties:
calculated volume = 16.75 A^3/atom
energy relative to the elements = 0.000 eV per atom

Unit cell a=4.4892 b=3.9402 c=3.2430 alpha=76.68 beta=58.66 gamma=44.67
Last column: nearest neighbours and their distance in Å.
Sites, in units of the cell vectors:
1 Pu 0.1250 0.1250 0.1250  4 Pu 2.40
2 Pu 0.8750 0.8750 0.8750  4 Pu 2.40



Compound: NaCaN2O
Source: the Alexandria database
Functional: PBEsol
Structure: optimized geometry

Computed properties:
calculated volume = 14.66 A^3/atom
uncorrected formation energy = 820 meV per atom

Unit cell a=4.2072 b=4.2072 c=4.1419 alpha=90.00 beta=90.00 gamma=90.00
Last column: nearest neighbours and their distance in Å.
Sites, in units of the cell vectors:
1 Na 0.0000 0.0000 0.0000  2 O 2.07, 4 N 2.10
2 Ca 0.5000 0.5000 0.5000  8 N 2.95, 4 O 2.97
3 N 0.0000 0.5000 0.0000  2 Na 2.10
4 N 0.5000 0.0000 0.0000  2 Na 2.10
5 O 0.0000 0.0000 0.5000  2 Na 2.07